Density functional theory data (GGA-PBE) for crystalline ScZnOs3 at its relaxed geometry.

abc: 4.643 4.643 4.643
angles: 90.00 90.00 90.00
Site moments in Bohr magnetons follow the coordinates.
Fractional coordinates of all 5 atoms:
Os  0.500  0.000  0.000  0.53
Os  0.000  0.000  0.500  0.46
Os  0.000  0.500  0.000  0.58
Sc  0.000  0.000  0.000  -0.05
Zn  0.500  0.500  0.500  -0.03

## Properties
Symmetry: Pm-3m (221)
E_form (eV per atom): 2.281
N(E_F) (states/eV/atom): 1.13



Density functional theory data (GGA-PBE) for crystalline LiNbNiIr at its relaxed geometry.

abc: 4.055 4.055 4.446
angles: 117.13 117.13 90.00
Fractional coordinates of all 4 atoms:
Li  0.000  0.000  0.000
Ni  0.750  0.250  0.500
Ir  0.250  0.750  0.500
Nb  0.500  0.500  0.000

## Properties
Symmetry: I-4m2 (119)
E_form (eV per atom): -0.290
N(E_F) (states/eV/atom): 0.53



Density functional theory data (GGA-PBE) for crystalline PaSe2I at its relaxed geometry.

abc: 4.450 4.450 7.915
angles: 73.67 73.67 60.00
Site moments in Bohr magnetons follow the coordinates.
Fractional coordinates of all 4 atoms:
Se  0.280  0.280  0.160  0.01
Se  0.720  0.720  0.840  0.01
Pa  0.000  0.000  0.000  -0.18
I  0.500  0.500  0.500  0.02

## Properties
Symmetry: R-3m (166)
Formation energy from raw total energies (eV per atom): -0.854



Density functional theory data (GGA-PBE) for crystalline Pt2W at its relaxed geometry.

abc: 12.661 12.661 12.661
angles: 167.36 167.36 17.91
Fractional coordinates of all 6 atoms:
W  0.750  0.250  0.500
W  0.000  0.000  0.000
Pt  0.174  0.674  0.500
Pt  0.576  0.576  0.000
Pt  0.326  0.826  0.500
Pt  0.424  0.424  0.000

## Properties
Symmetry: I4_1/amd (141)
E_form (eV per atom): -0.249
N(E_F) (states/eV/atom): 0.67



Density functional theory data (GGA-PBE) for crystalline BaBeOs2W at its relaxed geometry.

abc: 4.755 5.959 4.755
angles: 90.00 90.00 90.00
Fractional coordinates of all 5 atoms:
W  0.000  0.000  0.000
Ba  0.000  0.500  0.000
Os  0.500  0.000  0.000
Os  0.000  0.000  0.500
Be  0.500  0.500  0.500

## Properties
Symmetry: P4/mmm (123)
E_form (eV per atom): 2.071
N(E_F) (states/eV/atom): 1.14



Density functional theory data (GGA-PBE) for crystalline Ce3Ge2Ru3 at its relaxed geometry.

abc: 5.683 7.439 15.213
angles: 90.00 90.00 90.00
Fractional coordinates of all 32 atoms:
Ru  0.923  0.812  0.030
Ru  0.106  0.175  0.250
Ru  0.894  0.825  0.750
Ru  0.423  0.688  0.530
Ru  0.077  0.188  0.970
Ru  0.577  0.312  0.470
Ru  0.606  0.325  0.750
Ru  0.077  0.188  0.530
Ru  0.423  0.688  0.970
Ru  0.923  0.812  0.470
Ru  0.577  0.312  0.030
Ru  0.394  0.675  0.250
Ge  0.850  0.107  0.392
Ge  0.150  0.893  0.892
Ge  0.350  0.393  0.892
Ge  0.350  0.393  0.608
Ge  0.150  0.893  0.608
Ge  0.650  0.607  0.392
Ge  0.650  0.607  0.108
Ge  0.850  0.107  0.108
Ce  0.852  0.535  0.895
Ce  0.905  0.815  0.250
Ce  0.352  0.965  0.105
Ce  0.405  0.685  0.750
Ce  0.595  0.315  0.250
Ce  0.352  0.965  0.395
Ce  0.852  0.535  0.605
Ce  0.148  0.465  0.105
Ce  0.648  0.035  0.605
Ce  0.095  0.185  0.750
Ce  0.648  0.035  0.895
Ce  0.148  0.465  0.395

## Properties
Symmetry: Pnma (62)
E_form (eV per atom): -0.580
N(E_F) (states/eV/atom): 1.07



Density functional theory data (GGA-PBE) for crystalline CoPbBr2 at its relaxed geometry.

abc: 7.083 7.083 5.075
angles: 68.82 68.82 29.42
Site moments in Bohr magnetons follow the coordinates.
Fractional coordinates of all 4 atoms:
Pb  0.750  0.750  0.750  -0.04
Br  0.893  0.893  0.106  0.05
Br  0.607  0.607  0.394  0.05
Co  0.250  0.250  0.250  1.67

## Properties
Symmetry: C2/m (12)
Formation energy from raw total energies (eV per atom): -0.106
N(E_F) (states/eV/atom): 1.47



Density functional theory data (GGA-PBE) for crystalline LaCd2Hg8 at its relaxed geometry.

abc: 5.360 6.207 9.202
angles: 109.71 93.52 90.00
Fractional coordinates of all 11 atoms:
Cd  0.565  0.262  0.524
Cd  0.435  0.738  0.476
Hg  0.016  0.596  0.192
Hg  0.478  0.156  0.820
Hg  0.952  0.807  0.614
Hg  0.522  0.844  0.180
Hg  0.984  0.404  0.808
Hg  0.048  0.193  0.386
Hg  0.478  0.664  0.820
Hg  0.522  0.336  0.180
La  0.000  0.000  0.000

## Properties
Symmetry: C2/m (12)
E_form (eV per atom): -0.130
N(E_F) (states/eV/atom): 0.43



Density functional theory data (GGA-PBE) for crystalline Y3TmRh2 at its relaxed geometry.

abc: 4.230 4.743 8.014
angles: 107.26 105.30 90.00
Fractional coordinates of all 6 atoms:
Y  0.814  0.314  0.628
Y  0.186  0.686  0.372
Y  0.500  0.500  0.000
Tm  0.000  0.000  0.000
Rh  0.628  0.128  0.256
Rh  0.372  0.872  0.744

## Properties
Symmetry: Immm (71)
E_form (eV per atom): -0.552
N(E_F) (states/eV/atom): 0.72



Density functional theory data (GGA-PBE) for crystalline TcSnPb3 at its relaxed geometry.

abc: 5.357 5.357 5.357
angles: 90.00 90.00 90.00
Site moments in Bohr magnetons follow the coordinates.
Fractional coordinates of all 5 atoms:
Pb  0.000  0.000  0.500  -0.01
Pb  0.500  0.000  0.000  -0.01
Pb  0.000  0.500  0.000  0.01
Sn  0.500  0.500  0.500  0.25
Tc  0.000  0.000  0.000  0.72

## Properties
Symmetry: Pm-3m (221)
E_form (eV per atom): 0.478
N(E_F) (states/eV/atom): 1.21



Density functional theory data (GGA-PBE) for crystalline Ca2PmAgO4 at its relaxed geometry.

abc: 3.507 5.893 6.025
angles: 108.71 90.00 90.00
Fractional coordinates of all 8 atoms:
Ca  0.500  0.000  0.500
Ca  0.000  0.500  0.500
Ag  0.000  0.000  0.000
Pm  0.500  0.500  0.000
O  0.000  0.731  0.253
O  0.500  0.723  0.729
O  0.000  0.269  0.747
O  0.500  0.277  0.271

## Properties
Symmetry: P2/m (10)
Formation energy from raw total energies (eV per atom): -2.456
N(E_F) (states/eV/atom): 0.00



Density functional theory data (GGA-PBE) for crystalline La3Er12Tm at its relaxed geometry.

abc: 5.025 5.025 20.137
angles: 90.00 90.00 90.00
Fractional coordinates of all 16 atoms:
Er  0.000  0.500  0.879
Er  0.500  0.000  0.879
Er  0.500  0.500  0.753
Er  0.500  0.500  0.000
Er  0.500  0.500  0.247
Er  0.000  0.500  0.121
Er  0.000  0.500  0.626
Er  0.000  0.500  0.374
Er  0.500  0.000  0.121
Er  0.500  0.000  0.626
Er  0.500  0.000  0.374
Er  0.500  0.500  0.500
Tm  0.000  0.000  0.000
La  0.000  0.000  0.249
La  0.000  0.000  0.500
La  0.000  0.000  0.751

## Properties
Symmetry: P4/mmm (123)
E_form (eV per atom): 0.036
N(E_F) (states/eV/atom): 1.54



Density functional theory data (GGA-PBE) for crystalline EuErPt2 at its relaxed geometry.

abc: 3.497 3.497 7.192
angles: 90.00 90.00 90.00
Site moments in Bohr magnetons follow the coordinates.
Fractional coordinates of all 4 atoms:
Eu  0.500  0.500  0.500  6.80
Pt  0.000  0.000  0.779  -0.01
Pt  0.000  0.000  0.221  -0.01
Er  0.500  0.500  0.000  0.04

## Properties
Symmetry: P4/mmm (123)
E_form (eV per atom): -1.118
N(E_F) (states/eV/atom): 2.55



Density functional theory data (GGA-PBE) for crystalline La2AlOsC at its relaxed geometry.

abc: 5.345 5.345 3.932
angles: 90.00 90.00 90.00
Fractional coordinates of all 5 atoms:
La  0.000  0.500  0.000
La  0.500  0.000  0.000
Al  0.500  0.500  0.500
C  0.000  0.000  0.000
Os  0.000  0.000  0.500

## Properties
Symmetry: P4/mmm (123)
E_form (eV per atom): -0.224
N(E_F) (states/eV/atom): 0.53



Density functional theory data (GGA-PBE) for crystalline ScVC3 at its relaxed geometry.

abc: 4.081 4.081 4.081
angles: 90.00 90.00 90.00
Site moments in Bohr magnetons follow the coordinates.
Fractional coordinates of all 5 atoms:
V  0.500  0.500  0.500  2.28
Sc  0.000  0.000  0.000  -0.07
C  0.500  0.000  0.000  -0.07
C  0.000  0.000  0.500  -0.07
C  0.000  0.500  0.000  -0.07

## Properties
Symmetry: Pm-3m (221)
E_form (eV per atom): 2.293
N(E_F) (states/eV/atom): 0.77



Density functional theory data (GGA-PBE) for crystalline NbMoRh6 at its relaxed geometry.

abc: 3.884 5.494 5.494
angles: 90.00 90.00 90.00
Fractional coordinates of all 8 atoms:
Nb  0.500  0.000  0.000
Rh  0.500  0.500  0.000
Rh  0.000  0.747  0.747
Rh  0.000  0.253  0.747
Rh  0.000  0.253  0.253
Rh  0.000  0.747  0.253
Rh  0.500  0.000  0.500
Mo  0.500  0.500  0.500

## Properties
Symmetry: P4/mmm (123)
E_form (eV per atom): -0.364
N(E_F) (states/eV/atom): 0.55



Density functional theory data (GGA-PBE) for crystalline SrCa2ZnIr at its relaxed geometry.

abc: 6.341 4.977 6.341
angles: 90.00 90.00 90.00
Fractional coordinates of all 5 atoms:
Ca  0.500  0.000  0.000
Ca  0.000  0.000  0.500
Zn  0.500  0.500  0.500
Ir  0.000  0.500  0.000
Sr  0.000  0.000  0.000

## Properties
Symmetry: P4/mmm (123)
E_form (eV per atom): 1.157
N(E_F) (states/eV/atom): 1.03



Density functional theory data (GGA-PBE) for crystalline Sc2SbOs2 at its relaxed geometry.

abc: 6.779 6.779 4.265
angles: 90.00 90.00 90.00
Fractional coordinates of all 10 atoms:
Sc  0.677  0.823  0.500
Sc  0.823  0.323  0.500
Sc  0.323  0.177  0.500
Sc  0.177  0.677  0.500
Os  0.375  0.875  0.000
Os  0.125  0.375  0.000
Os  0.625  0.125  0.000
Os  0.875  0.625  0.000
Sb  0.000  0.000  0.000
Sb  0.500  0.500  0.000

## Properties
Symmetry: P4/mbm (127)
Formation energy from raw total energies (eV per atom): -0.209
N(E_F) (states/eV/atom): 0.72



Density functional theory data (GGA-PBE) for crystalline Mn2RuAu at its relaxed geometry.

abc: 4.575 4.575 4.907
angles: 79.43 79.43 36.59
Site moments in Bohr magnetons follow the coordinates.
Fractional coordinates of all 4 atoms:
Mn  0.495  0.495  0.515  3.35
Mn  0.005  0.005  0.985  3.35
Au  0.250  0.250  0.250  0.07
Ru  0.750  0.750  0.750  -0.10

## Properties
Symmetry: C2/m (12)
E_form (eV per atom): 0.255
N(E_F) (states/eV/atom): 1.15



Density functional theory data (GGA-PBE) for crystalline Tc2BRh at its relaxed geometry.

abc: 3.623 3.623 8.887
angles: 78.24 78.24 90.00
Fractional coordinates of all 8 atoms:
B  0.500  0.500  0.000
B  0.250  0.750  0.500
Tc  0.577  0.125  0.250
Tc  0.375  0.423  0.750
Tc  0.875  0.827  0.750
Tc  0.173  0.625  0.250
Rh  0.000  0.000  0.000
Rh  0.750  0.250  0.500

## Properties
Symmetry: I-42d (122)
E_form (eV per atom): 0.662
N(E_F) (states/eV/atom): 0.87



Density functional theory data (GGA-PBE) for crystalline Li2ScZn6 at its relaxed geometry.

abc: 2.929 7.631 7.631
angles: 120.00 90.00 90.00
Fractional coordinates of all 9 atoms:
Zn  0.500  0.662  0.662
Zn  0.500  0.338  0.000
Zn  0.500  0.000  0.662
Zn  0.500  0.338  0.338
Zn  0.500  0.662  0.000
Zn  0.500  0.000  0.338
Li  0.000  0.667  0.333
Li  0.000  0.333  0.667
Sc  0.000  0.000  0.000

## Properties
Symmetry: P6/mmm (191)
E_form (eV per atom): -0.210
N(E_F) (states/eV/atom): 0.43



Density functional theory data (GGA-PBE) for crystalline LaEr6Te8 at its relaxed geometry.

abc: 8.012 8.012 8.012
angles: 75.33 75.33 75.33
Fractional coordinates of all 15 atoms:
Er  0.628  0.154  0.444
Er  0.846  0.556  0.372
Er  0.372  0.846  0.556
Er  0.154  0.444  0.628
Er  0.556  0.372  0.846
Er  0.444  0.628  0.154
La  0.000  0.000  0.000
Te  0.631  0.896  0.198
Te  0.198  0.631  0.896
Te  0.709  0.709  0.709
Te  0.896  0.198  0.631
Te  0.291  0.291  0.291
Te  0.802  0.369  0.104
Te  0.104  0.802  0.369
Te  0.369  0.104  0.802

## Properties
Symmetry: R-3 (148)
Formation energy from raw total energies (eV per atom): -1.176
N(E_F) (states/eV/atom): 0.59



Density functional theory data (GGA-PBE) for crystalline LiCe2PrSe5 at its relaxed geometry.

abc: 4.191 8.999 12.589
angles: 90.06 90.00 103.47
Site moments in Bohr magnetons follow the coordinates.
Fractional coordinates of all 18 atoms:
Li  0.487  0.975  0.482  0.00
Li  0.513  0.025  0.982  0.00
Se  0.690  0.380  0.835  -0.01
Se  0.958  0.915  0.575  0.00
Se  0.501  0.001  0.784  0.00
Se  0.499  0.999  0.284  -0.03
Se  0.365  0.729  0.999  -0.01
Se  0.042  0.084  0.075  -0.02
Se  0.635  0.271  0.500  -0.02
Se  0.290  0.581  0.667  0.01
Se  0.310  0.621  0.335  -0.01
Se  0.710  0.420  0.167  -0.02
Ce  0.878  0.755  0.798  -0.90
Ce  0.110  0.220  0.683  0.92
Ce  0.122  0.244  0.297  0.92
Ce  0.891  0.781  0.183  0.91
Pr  0.804  0.607  0.500  0.00
Pr  0.196  0.393  0.000  0.02

## Properties
Symmetry: Cm (8)
Formation energy from raw total energies (eV per atom): -1.687
N(E_F) (states/eV/atom): 1.51